Material: SrCaNdMnO6
Method: DFT, GGA+U
State: relaxed

Lattice parameters (Å, degrees): 5.6234 5.6234 8.4302 90.00 90.00 90.00
Fractional coordinates of all 20 atoms:
Sr  0.0000  0.5000  0.2500
Sr  0.5000  0.0000  0.7500
Ca  0.0000  0.0000  0.5000
Ca  0.5000  0.5000  0.0000
Nd  0.0000  0.5000  0.7500
Nd  0.5000  0.0000  0.2500
Mn  0.0000  0.0000  0.0000
Mn  0.5000  0.5000  0.5000
O  0.0000  0.0000  0.2323
O  0.0000  0.0000  0.7677
O  0.1467  0.3063  0.9895
O  0.1937  0.3533  0.5105
O  0.3063  0.8533  0.0105
O  0.3533  0.8063  0.4895
O  0.5000  0.5000  0.2677
O  0.5000  0.5000  0.7323
O  0.6467  0.1937  0.4895
O  0.6937  0.1467  0.0105
O  0.8063  0.6467  0.5105
O  0.8533  0.6937  0.9895

Values from the calculation:
- distance to the lowest polymorph of the same formula (eV/atom) = 0.0000
- SG = P-4n2, No. 118